A relaxed structure of SmYO3, computed with PBE.

abc: 3.1089 6.0610 6.0609
angles: 60.01 90.00 90.00
Closest atoms and distances in Å follow each position.
Fractional coordinates of all 5 atoms:
Y 0.2202 0.4328 0.3955  6 O 2.32
O 0.7201 0.2691 0.2317  2 Y 2.32, 2 Sm 2.36
O 0.7201 0.2690 0.7231  2 Y 2.32, 2 Sm 2.36
O 0.7202 0.7602 0.2317  2 Y 2.32, 2 Sm 2.36
Sm 0.2202 0.0994 0.0622  6 O 2.36

Computed properties:
- E_form (uncorrected): -3286 meV per atom
- Volume: 19.78 Å³ per atom
- Space group: P-6m2, No. 187

A relaxed structure of NbCr2IrPd, computed with PBE.

abc: 4.3627 4.7489 4.3627
angles: 90.00 90.00 90.00
Closest atoms and distances in Å follow each position.
Fractional coordinates of all 5 atoms:
Pd 0.0000 0.5000 0.0000  2 Nb 2.37
Ir 0.5000 0.5000 0.5000  4 Pd 3.08, 8 Cr 3.22
Cr 0.5000 0.0000 0.0000  2 Nb 2.18
Cr 0.0000 0.0000 0.5000  2 Nb 2.18
Nb 0.0000 0.0000 0.0000  4 Cr 2.18, 2 Pd 2.37

Computed properties:
- Volume: 18.08 Å³ per atom
- Space group: P4/mmm, No. 123
- Calculated total energy: -34.359 eV per formula unit

A relaxed structure of La3TmAl8, computed with PBE.

abc: 5.6925 5.6925 9.3575
angles: 90.00 90.00 120.00
Closest atoms and distances in Å follow each position.
Fractional coordinates of all 12 atoms:
Al 0.5042 0.4958 0.7444  6 Al 2.77-2.92
Al 0.3333 0.6667 0.5018  6 Al 2.83-2.86
Al 0.1619 0.8381 0.2549  6 Al 2.76-2.96
Al 0.9916 0.4958 0.7444  6 Al 2.77-2.92
Al 0.5042 0.0084 0.7444  6 Al 2.77-2.92
Al 0.3333 0.6667 0.9958  6 Al 2.89-2.96
Al 0.6762 0.8381 0.2549  6 Al 2.76-2.96
Al 0.1619 0.3238 0.2549  6 Al 2.76-2.96
La 0.0000 0.0000 0.9338  12 Al 3.34-3.40, 1 Tm 3.42, 3 La 3.52
La 0.6667 0.3333 0.0700  12 Al 3.33-3.44, 4 La 3.39-3.52
La 0.6667 0.3333 0.4322  12 Al 3.29-3.35, 1 La 3.39, 3 Tm 3.53
Tm 0.0000 0.0000 0.5684  12 Al 3.29-3.35, 4 La 3.42-3.53

Computed properties:
- Distance to the lowest polymorph of the same formula: 0.015 eV per atom
- Volume: 21.88 Å³ per atom
- Space group: P3m1, No. 156

A relaxed structure of CuBiBr6, computed with PBE.

abc: 5.7908 8.8993 7.8245
angles: 49.85 72.93 78.77
Closest atoms and distances in Å follow each position.
Fractional coordinates of all 8 atoms:
Br 0.9452 0.6819 0.1342  1 Cu 2.35
Br 0.0548 0.3181 0.8658  1 Cu 2.35
Br 0.7734 0.1261 0.7169  1 Cu 2.41
Br 0.5179 0.6901 0.6749  1 Bi 2.81
Br 0.2266 0.8739 0.2831  1 Cu 2.41
Br 0.4821 0.3099 0.3251  1 Bi 2.81
Bi 0.5000 0.5000 0.5000  6 Br 2.81-2.96
Cu 0.0000 0.0000 0.0000  4 Br 2.35-2.41

Computed properties:
- E_form (uncorrected): -359 meV per atom
- Volume: 36.83 Å³ per atom
- Space group: P-1, No. 2

A relaxed structure of Ba3BeIn, computed with PBE.

abc: 6.1461 6.1461 6.1461
angles: 90.00 90.00 90.00
Closest atoms and distances in Å follow each position.
Fractional coordinates of all 5 atoms:
Be 0.0000 0.0000 0.0000  6 Ba 3.07
In 0.5000 0.5000 0.5000  12 Ba 4.35
Ba 0.5000 0.0000 0.0000  2 Be 3.07
Ba 0.0000 0.5000 0.0000  2 Be 3.07
Ba 0.0000 0.0000 0.5000  2 Be 3.07

Computed properties:
- Distance to the lowest polymorph of the same formula: 0.000 eV per atom
- Volume: 46.43 Å³ per atom
- Space group: Pm-3m, No. 221

A relaxed structure of AcEuAlZn, computed with PBE.

abc: 5.4821 5.4821 5.4821
angles: 60.00 60.00 60.00
Closest atoms and distances in Å follow each position.
Fractional coordinates of all 4 atoms:
Ac 0.2500 0.2500 0.2500  4 Al 3.36, 4 Zn 3.36
Al 0.5000 0.5000 0.5000  4 Eu 3.36, 4 Ac 3.36
Eu 0.7500 0.7500 0.7500  4 Al 3.36, 4 Zn 3.36
Zn 0.0000 0.0000 0.0000  4 Ac 3.36, 4 Eu 3.36

Computed properties:
- Volume: 29.12 Å³ per atom
- Space group: F-43m, No. 216
- Calculated total energy: -20.364 eV per formula unit